Y2TmScSb4 PBE relaxed; DOS at the Fermi energy = 1.218 states/eV/f.u.; ρ = 6382 kg/m3; magnetization = 0.000 μB per formula unit; VASP energy = -6.10 eV/atom; calculated volume = 228.6 Å³ per cell
1.0
7.4852 0.0000 0.0000
0.0000 4.3261 0.0000
-2.4970 0.0000 7.0606
Y Tm Sc Sb
2 1 1 4
direct
0.0000 0.0000 0.0000
0.0000 0.5000 0.5000
0.5000 0.0000 0.5000
0.5000 0.5000 0.0000
0.2577 0.5000 0.2475
0.2615 0.0000 0.7589
0.7385 0.0000 0.2411
0.7423 0.5000 0.7525